1.
DyTm8Sn2: optimized geometry, PBE-GGA.

abc: 6.1722 8.7269 8.7269
angles: 44.40 93.29 93.29
With the nearest neighbours (Å) after each atom.
Sites, in units of the cell vectors:
Tm (0.5992, 0.6486, 0.1553)  2 Sn 3.11-3.19, 4 Tm 3.25-3.47, 1 Dy 3.31
Tm (0.8419, 0.2127, 0.2127)  2 Sn 3.12-3.21
Tm (0.1191, 0.4178, 0.4178)  1 Sn 3.01, 1 Tm 3.11
Tm (0.4008, 0.3514, 0.8447)  2 Sn 3.11-3.19, 4 Tm 3.25-3.47, 1 Dy 3.31
Tm (0.5992, 0.1553, 0.6486)  2 Sn 3.11-3.19, 4 Tm 3.25-3.47, 1 Dy 3.31
Tm (0.4008, 0.8447, 0.3514)  2 Sn 3.11-3.19, 4 Tm 3.25-3.47, 1 Dy 3.31
Tm (0.8809, 0.5822, 0.5822)  1 Sn 3.01, 1 Tm 3.11
Tm (0.1581, 0.7873, 0.7873)  2 Sn 3.12-3.21
Sn (0.6585, 0.7430, 0.7430)  7 Tm 3.01-3.21
Sn (0.3415, 0.2570, 0.2570)  7 Tm 3.01-3.21
Dy (0.0000, 0.0000, 0.0000)  10 Tm 3.31-3.65

Values from the calculation:
The calculated density comes out at 8.9 g/cm³. The size of the total moment comes out at 0.000 μB/atom. The energy comes out at -4.552 eV/atom. The formation energy comes out at -0.154 eV per atom.

=====

2.
KScC: optimized geometry, PBE-GGA.

abc: 12.7348 3.7320 3.7331
angles: 119.95 88.26 91.18
With the nearest neighbours (Å) after each atom.
Sites, in units of the cell vectors:
C (0.8696, 0.0116, 0.8022)  1 C 1.53
C (0.7492, 0.0086, 0.8135)  1 C 1.53
Sc (0.8314, 0.6773, 0.1393)  6 C 2.21-2.40
Sc (0.6641, 0.3398, 0.4882)  3 C 2.41
K (0.3769, 0.0006, 0.8531)  6 K 3.73-3.74
K (0.0475, 0.3495, 0.4531)  3 C 3.13, 3 Sc 3.49-3.50

Values from the calculation:
The value obtained for the energy above the most stable polymorph in this dataset is 148.6 meV/atom. The calculated density comes out at 2.1 g/cm³. The size of the total moment comes out at 0.000 μB/atom. The energy comes out at -5.441 eV/atom. The formation energy comes out at 0.110 eV per atom.

=====

3.
ErSi3Rh5: optimized geometry, PBE-GGA.

abc: 3.8895 6.4531 12.1985
angles: 90.00 90.00 107.54
With the nearest neighbours (Å) after each atom.
Sites, in units of the cell vectors:
Si (0.8860, 0.7720, 0.2500)  6 Rh 2.39-2.46
Si (0.3836, 0.7673, 0.5414)  5 Rh 2.26-2.47
Si (0.6164, 0.2327, 0.4586)  5 Rh 2.26-2.47
Si (0.1140, 0.2280, 0.7500)  6 Rh 2.39-2.46
Si (0.3836, 0.7673, 0.9586)  5 Rh 2.26-2.47
Si (0.6164, 0.2327, 0.0414)  5 Rh 2.26-2.47
Rh (0.5495, 0.0991, 0.8553)  4 Si 2.40-2.46, 1 Rh 2.57
Rh (0.0000, 0.0000, 0.5000)  4 Si 2.47, 6 Rh 2.67-2.70
Rh (0.2033, 0.4067, 0.5760)  2 Si 2.26-2.39
Rh (0.0000, 0.0000, 0.0000)  4 Si 2.47, 6 Rh 2.67-2.70
Rh (0.4505, 0.9009, 0.1447)  4 Si 2.40-2.46, 1 Rh 2.57
Rh (0.4505, 0.9009, 0.3553)  4 Si 2.40-2.46, 1 Rh 2.57
Rh (0.7967, 0.5933, 0.0760)  2 Si 2.26-2.39
Rh (0.7967, 0.5933, 0.4240)  2 Si 2.26-2.39
Rh (0.2033, 0.4067, 0.9240)  2 Si 2.26-2.39
Rh (0.5495, 0.0991, 0.6447)  4 Si 2.40-2.46, 1 Rh 2.57
Er (0.1564, 0.3129, 0.2500)  7 Si 3.24-3.43, 10 Rh 3.36-3.61
Er (0.8436, 0.6871, 0.7500)  7 Si 3.24-3.43, 10 Rh 3.36-3.61

Values from the calculation:
As for the uncorrected formation energy: -753 meV per atom. The calculated density comes out at 8.7 g/cm³. The size of the total moment comes out at 0.000 μB/atom. The energy comes out at -7.151 eV/atom.

=====

4.
Ba2Cd3SnHg4: optimized geometry, PBE-GGA.

abc: 4.8662 4.8662 12.5290
angles: 90.00 90.00 90.00
With the nearest neighbours (Å) after each atom.
Sites, in units of the cell vectors:
Cd (0.5000, 0.0000, 0.8662)  5 Hg 2.85-2.95
Cd (0.0000, 0.5000, 0.1338)  5 Hg 2.85-2.95
Cd (0.0000, 0.0000, 0.5000)  4 Hg 2.99
Ba (0.0000, 0.5000, 0.7494)  8 Hg 3.71-3.97, 6 Cd 3.74-3.96, 2 Sn 3.96
Ba (0.5000, 0.0000, 0.2506)  8 Hg 3.71-3.97, 6 Cd 3.74-3.96, 2 Sn 3.96
Sn (0.5000, 0.5000, 0.5000)  4 Hg 2.99
Hg (0.5000, 0.0000, 0.6388)  3 Cd 2.85-2.99, 2 Sn 2.99
Hg (0.5000, 0.5000, 0.0000)  4 Cd 2.95
Hg (0.0000, 0.5000, 0.3612)  3 Cd 2.85-2.99, 2 Sn 2.99
Hg (0.0000, 0.0000, 0.0000)  4 Cd 2.95

Values from the calculation:
The calculated density comes out at 8.6 g/cm³. The size of the total moment comes out at 0.000 μB/atom. The energy comes out at -1.520 eV/atom. The formation energy comes out at -0.340 eV per atom.

=====

5.
Ce2Nd2Sn5: optimized geometry, PBE-GGA.

abc: 8.4452 8.3552 8.5370
angles: 119.30 90.00 90.00
With the nearest neighbours (Å) after each atom.
Sites, in units of the cell vectors:
Ce (0.1185, 0.6207, 0.0000)  1 Ce 2.84, 2 Sn 3.08
Ce (0.8815, 0.3793, 0.0000)  1 Ce 2.84, 2 Sn 3.08
Ce (0.3815, 0.1207, 0.0000)  1 Ce 2.84, 2 Sn 3.08
Ce (0.6185, 0.8793, 0.0000)  1 Ce 2.84, 2 Sn 3.08
Nd (0.5000, 0.2886, 0.5772)  7 Sn 3.15-3.27
Nd (0.0000, 0.7886, 0.5772)  7 Sn 3.15-3.27
Nd (0.0000, 0.2114, 0.4228)  7 Sn 3.15-3.27
Nd (0.5000, 0.7114, 0.4228)  7 Sn 3.15-3.27
Sn (0.3139, 0.9509, 0.2732)  3 Ce 3.08-3.32, 3 Nd 3.16-3.27
Sn (0.3139, 0.6778, 0.7268)  3 Ce 3.08-3.32, 3 Nd 3.16-3.27
Sn (0.5000, 0.5000, 0.0000)  2 Nd 3.15, 4 Ce 3.32-3.38
Sn (0.8139, 0.5491, 0.7268)  3 Ce 3.08-3.32, 3 Nd 3.16-3.27
Sn (0.0000, 0.0000, 0.0000)  2 Nd 3.15, 4 Ce 3.32-3.38
Sn (0.8139, 0.8222, 0.2732)  3 Ce 3.08-3.32, 3 Nd 3.16-3.27
Sn (0.6861, 0.0491, 0.7268)  3 Ce 3.08-3.32, 3 Nd 3.16-3.27
Sn (0.1861, 0.4509, 0.2732)  3 Ce 3.08-3.32, 3 Nd 3.16-3.27
Sn (0.1861, 0.1778, 0.7268)  3 Ce 3.08-3.32, 3 Nd 3.16-3.27
Sn (0.6861, 0.3222, 0.2732)  3 Ce 3.08-3.32, 3 Nd 3.16-3.27

Values from the calculation:
The calculated density comes out at 7.3 g/cm³. The size of the total moment comes out at 0.027 μB/atom. The energy comes out at -5.150 eV/atom. The formation energy comes out at -0.548 eV per atom.

=====

6.
MgMoN3: optimized geometry, PBE-GGA.

abc: 3.7561 3.7561 3.7561
angles: 90.00 90.00 90.00
With the nearest neighbours (Å) after each atom.
Sites, in units of the cell vectors:
Mo (0.5000, 0.5000, 0.5000)  12 N 2.66
N (0.0000, 0.5000, 0.0000)  2 Mg 1.88
N (0.5000, 0.0000, 0.0000)  2 Mg 1.88
N (0.0000, 0.0000, 0.5000)  2 Mg 1.88
Mg (0.0000, 0.0000, 0.0000)  6 N 1.88

Values from the calculation:
As for the uncorrected formation energy: 1779 meV per atom. The calculated density comes out at 5.1 g/cm³. The size of the total moment comes out at 0.358 μB/atom. The energy comes out at -5.702 eV/atom.